# TiTe2Cl

TiTe2Cl after structural relaxation (PBE, Alexandria via LeMat-Bulk).

Calculated values
* formation energy (no corrections): -0.53 eV/f.u.
* relative energy among the computed polymorphs: 0.409 eV/atom
* size of the total moment: 0.000 μB/atom

CIF file:
```
data_TiTe2Cl
_cell_length_a 7.1346
_cell_length_b 7.1346
_cell_length_c 7.1346
_cell_angle_alpha 90.00
_cell_angle_beta 90.00
_cell_angle_gamma 90.00
_space_group_name_H-M_alt 'F m -3 m'
_space_group_IT_number 225
_space_group_name_Hall '-F 4 2 3'
loop_
_atom_site_label
_atom_site_type_symbol
_atom_site_fract_x
_atom_site_fract_y
_atom_site_fract_z
_atom_site_occupancy
Ti1 Ti 0.0000 0.0000 0.0000 1
Te1 Te 0.2500 0.2500 0.2500 1
Cl1 Cl 0.0000 0.0000 0.5000 1
```